The following is a PBE calculation of Pr3Dy2Cd after structural relaxation, from Alexandria.

The value obtained for the calculated volume is 194.42 Å³/cell. Its energy above the most stable polymorph in this dataset is 0.0 meV per atom. The formation energy comes out at -0.08 eV/atom. Its density of states at the Fermi level is 1.3383 states/eV per atom.

The structure belongs to space group P4/mmm (No. 123); the cell edges are 3.676, 3.676 and 14.386 Å and the angles 90.00°, 90.00° and 90.00°. The distinct sites, in fractional coordinates, are Pr at (0.000, 0.000, 0.000), Pr at (0.000, 0.000, 0.351), Dy at (0.500, 0.500, 0.174) and Cd at (0.500, 0.500, 0.500).